Density functional theory data (PBE-GGA) for an optimized crystal structure of Tb2DyEr6Tm3.

Calculated values
VASP energy = -4.532 eV/atom
crystal system = monoclinic
SG = C2/m

Cell lengths 6.069, 6.069, 11.615 Å; angles 94.99, 94.99, 119.93 degrees
Atoms (fractional coordinates):
Tb1 0.167 0.833 0.000
Tb2 0.833 0.167 0.000
Dy1 0.500 0.500 0.000
Er1 0.083 0.416 0.748
Er2 0.251 0.251 0.252
Er3 0.416 0.083 0.748
Er4 0.584 0.917 0.252
Er5 0.749 0.749 0.748
Er6 0.917 0.584 0.252
Tm1 0.000 0.000 0.500
Tm2 0.333 0.667 0.500
Tm3 0.667 0.333 0.500